DFT (PBE) results for an optimized crystal structure of LaMgSiAu.

Summary:
Its crystal system is cubic. Its total DFT energy (no corrections) is -4.336 eV per atom.

Lattice parameters (Å, degrees): 5.0419 5.0419 5.0419 60.00 60.00 60.00
Fractional positions:
1 Si 0.7500 0.7500 0.7500
2 Au 0.2500 0.2500 0.2500
3 Mg 0.5000 0.5000 0.5000
4 La 0.0000 0.0000 0.0000

DFT (PBE) results for an optimized crystal structure of PrMgZnCo.

Summary:
Its crystal system is cubic. The formation energy from the elements comes out at -4 meV/atom.

Lattice parameters (Å, degrees): 4.8352 4.8352 4.8352 60.00 60.00 60.00
Fractional positions:
1 Pr 0.2500 0.2500 0.2500
2 Zn 0.0000 0.0000 0.0000
3 Co 0.5000 0.5000 0.5000
4 Mg 0.7500 0.7500 0.7500

DFT (PBE) results for an optimized crystal structure of Be5C7.

Summary:
Its crystal system is tetragonal. The formation energy from the elements comes out at 752 meV/atom.

Lattice parameters (Å, degrees): 4.9970 4.9970 4.9970 101.15 101.15 127.83
Fractional positions:
1 Be 0.9078 0.9078 0.0000
2 Be 0.6812 0.3303 0.0000
3 Be 0.3303 0.6812 0.0000
4 Be 0.6812 0.6812 0.3509
5 Be 0.3303 0.3303 0.6491
6 C 0.3011 0.3011 0.0000
7 C 0.4879 0.9879 0.5000
8 C 0.9879 0.4879 0.5000
9 C 0.7481 0.0784 0.3303
10 C 0.7481 0.4178 0.6697
11 C 0.4178 0.7481 0.6697
12 C 0.0784 0.7481 0.3303

DFT (PBE) results for an optimized crystal structure of SrTa2Ag.

Summary:
Its crystal system is cubic. The calculation puts the excess energy over the best structure of this formula in the dataset at 3.47 eV per formula unit. The formation energy from the elements comes out at 1290 meV/atom.

Lattice parameters (Å, degrees): 4.9049 4.9049 4.9049 60.00 60.00 60.00
Fractional positions:
1 Sr 0.0000 0.0000 0.0000
2 Ag 0.5000 0.5000 0.5000
3 Ta 0.2500 0.2500 0.2500
4 Ta 0.7500 0.7500 0.7500

DFT (PBE) results for an optimized crystal structure of SrMg2Ru.

Summary:
Its crystal system is tetragonal. The formation energy from the elements comes out at 528 meV/atom.

Lattice parameters (Å, degrees): 4.7069 4.7069 10.2189 76.69 76.69 90.00
Fractional positions:
1 Ru 0.0000 0.0000 0.0000
2 Ru 0.7500 0.2500 0.5000
3 Mg 0.7360 0.1250 0.2500
4 Mg 0.0140 0.6250 0.2500
5 Mg 0.3750 0.2640 0.7500
6 Mg 0.8750 0.9860 0.7500
7 Sr 0.5000 0.5000 0.0000
8 Sr 0.2500 0.7500 0.5000

DFT (PBE) results for an optimized crystal structure of ErAu3.

Summary:
Its crystal system is tetragonal. The formation energy from the elements comes out at -676 meV/atom.

Lattice parameters (Å, degrees): 4.4768 4.4808 5.0976 116.07 116.05 90.00
Fractional positions:
1 Au 0.2499 0.6666 0.4998
2 Au 0.5000 0.4167 0.0000
3 Au 0.7501 0.1668 0.5002
4 Er 0.0000 0.9167 0.0000

DFT (PBE) results for an optimized crystal structure of PmEr2RuN4.

Summary:
Its crystal system is orthorhombic. Its total DFT energy (no corrections) is -8.113 eV per atom.

Lattice parameters (Å, degrees): 3.4106 6.0366 11.5281 90.00 90.00 106.41
Fractional positions:
1 Pm 0.1220 0.2439 0.7500
2 Pm 0.8780 0.7561 0.2500
3 Er 0.3690 0.7380 0.5422
4 Er 0.6310 0.2620 0.0422
5 Er 0.6310 0.2620 0.4578
6 Er 0.3690 0.7380 0.9578
7 Ru 0.8589 0.7179 0.7500
8 Ru 0.1411 0.2821 0.2500
9 N 0.2664 0.5328 0.1265
10 N 0.7336 0.4672 0.6265
11 N 0.7336 0.4672 0.8735
12 N 0.2664 0.5328 0.3735
13 N 0.0000 0.0000 0.5000
14 N 0.0000 0.0000 0.0000
15 N 0.4453 0.8905 0.7500
16 N 0.5547 0.1095 0.2500

DFT (PBE) results for an optimized crystal structure of CeReP2Os.

Summary:
Its crystal system is tetragonal. The formation energy from the elements comes out at -723 meV/atom.

Lattice parameters (Å, degrees): 4.1518 4.1518 5.6842 111.42 111.42 90.00
Fractional positions:
1 Ce 0.0000 0.0000 0.0000
2 Re 0.2500 0.7500 0.5000
3 P 0.6316 0.6316 0.2632
4 P 0.3684 0.3684 0.7368
5 Os 0.7500 0.2500 0.5000

DFT (PBE) results for an optimized crystal structure of La6SmMg2.

Summary:
Its crystal system is monoclinic. The calculation puts the excess energy over the best structure of this formula in the dataset at 0.19 eV per formula unit. The formation energy from the elements comes out at 22 meV/atom.

Lattice parameters (Å, degrees): 6.1541 10.2629 10.2629 71.16 82.93 82.93
Fractional positions:
1 La 0.4716 0.6741 0.4428
2 La 0.0284 0.5572 0.3259
3 La 0.5284 0.3259 0.5572
4 La 0.9716 0.4428 0.6741
5 La 0.6495 0.1130 0.3549
6 La 0.8505 0.6451 0.8870
7 La 0.3505 0.8870 0.6451
8 La 0.1495 0.3549 0.1130
9 La 0.3016 0.7741 0.0000
10 La 0.1984 0.0000 0.2259
11 La 0.6984 0.2259 0.0000
12 La 0.8016 0.0000 0.7741
13 Sm 0.2500 0.1434 0.8566
14 Sm 0.7500 0.8566 0.1434
15 Mg 0.4107 0.5233 0.7956
16 Mg 0.0893 0.2044 0.4767
17 Mg 0.5893 0.4767 0.2044
18 Mg 0.9107 0.7956 0.5233

DFT (PBE) results for an optimized crystal structure of Sm3AsSeN.

Summary:
Its crystal system is monoclinic. Its total DFT energy (no corrections) is -6.587 eV per atom.

Lattice parameters (Å, degrees): 4.0669 8.5902 9.2065 98.69 90.00 90.00
Fractional positions:
1 Sm 0.7500 0.9052 0.1576
2 Sm 0.2500 0.0948 0.8424
3 Sm 0.2500 0.8356 0.4935
4 Sm 0.7500 0.1644 0.5065
5 Sm 0.7500 0.3938 0.1567
6 Sm 0.2500 0.6062 0.8433
7 As 0.2500 0.1656 0.1972
8 As 0.7500 0.8344 0.8028
9 Se 0.2500 0.6463 0.1605
10 Se 0.7500 0.3537 0.8395
11 N 0.2500 0.0920 0.6002
12 N 0.7500 0.9080 0.3998

DFT (PBE) results for an optimized crystal structure of KTlZnTe2.

Summary:
Its crystal system is monoclinic. Its total DFT energy (no corrections) is -2.702 eV per atom.

Lattice parameters (Å, degrees): 5.6678 7.8894 8.8443 91.26 90.00 90.00
Fractional positions:
1 K 0.2525 0.5000 0.7500
2 K 0.7475 0.5000 0.2500
3 Tl 0.5894 0.0000 0.2500
4 Tl 0.4106 0.0000 0.7500
5 Zn 0.0000 0.0000 0.0000
6 Zn 0.0000 0.0000 0.5000
7 Te 0.7774 0.7464 0.9079
8 Te 0.7774 0.2536 0.5921
9 Te 0.2226 0.7464 0.4079
10 Te 0.2226 0.2536 0.0921

DFT (PBE) results for an optimized crystal structure of Ta2CrIr.

Summary:
Its crystal system is trigonal. The formation energy from the elements comes out at 32 meV/atom.

Lattice parameters (Å, degrees): 8.5038 8.5038 8.5038 20.18 20.18 20.18
Fractional positions:
1 Cr 0.2500 0.2500 0.2500
2 Ir 0.7500 0.7500 0.7500
3 Ta 0.9949 0.9949 0.9949
4 Ta 0.5051 0.5051 0.5051